## Se2IBrO (meta-GGA SCAN)

Data for a PBEsol-optimized structure of Se2IBrO.

M_tot, μB per formula unit: 2.482
Formation energy (no corrections), eV per atom: 1.190
Space group: P4/mmm

Lattice parameters (Å, degrees): 5.373 5.373 5.516 90.00 90.00 90.00
Fractional coordinates of all 5 atoms:
Se: 0.000 0.500 0.000
Se: 0.500 0.000 0.000
I: 0.000 0.000 0.000
Br: 0.000 0.000 0.500
O: 0.500 0.500 0.500

---

## BiPd3 (meta-GGA SCAN)

Data for a PBEsol-optimized structure of BiPd3.

M_tot, μB per formula unit: 0.000
Calculated formation energy, eV per atom: -0.1894
Space group: Fm-3m

Lattice parameters (Å, degrees): 4.569 4.569 4.569 60.00 60.00 60.00
Fractional coordinates of all 4 atoms:
Bi: 0.000 0.000 0.000
Pd: 0.250 0.250 0.250
Pd: 0.500 0.500 0.500
Pd: 0.750 0.750 0.750

---

## Sc2TiCo2 (meta-GGA SCAN)

Data for a PBEsol-optimized structure of Sc2TiCo2.

M_tot, μB per formula unit: 0.000
Calculated formation energy, eV per atom: -0.1947
Space group: P4/mbm

Lattice parameters (Å, degrees): 6.156 6.156 4.179 90.00 90.00 90.00
Fractional coordinates of all 10 atoms:
Sc: 0.179 0.321 0.000
Sc: 0.321 0.821 0.000
Sc: 0.679 0.179 0.000
Sc: 0.821 0.679 0.000
Ti: 0.000 0.000 0.500
Ti: 0.500 0.500 0.500
Co: 0.126 0.626 0.500
Co: 0.374 0.126 0.500
Co: 0.626 0.874 0.500
Co: 0.874 0.374 0.500

---

## Be2InBr (meta-GGA SCAN)

Data for a PBEsol-optimized structure of Be2InBr.

M_tot, μB per formula unit: 0.000
Formation energy (no corrections), eV per atom: 0.422
Space group: R-3m

Lattice parameters (Å, degrees): 7.204 7.204 7.204 26.85 26.85 26.85
Fractional coordinates of all 4 atoms:
Be: 0.249 0.249 0.249
Be: 0.751 0.751 0.751
In: 0.000 0.000 0.000
Br: 0.500 0.500 0.500

---

## AlMoPt2 (meta-GGA SCAN)

Data for a PBEsol-optimized structure of AlMoPt2.

M_tot, μB per formula unit: 0.000
Calculated formation energy, eV per atom: -0.4462
Space group: C2/m

Lattice parameters (Å, degrees): 4.708 4.708 4.835 99.65 99.65 34.15
Fractional coordinates of all 4 atoms:
Al: 0.000 0.000 0.000
Mo: 0.500 0.500 0.500
Pt: 0.255 0.255 0.749
Pt: 0.745 0.745 0.251

---

## CsHf2SiPd (meta-GGA SCAN)

Data for a PBEsol-optimized structure of CsHf2SiPd.

M_tot, μB per formula unit: 0.000
Formation energy (no corrections), eV per atom: 1.106
Space group: P4/mmm

Lattice parameters (Å, degrees): 4.916 4.916 6.047 90.00 90.00 90.00
Fractional coordinates of all 5 atoms:
Cs: 0.000 0.000 0.000
Hf: 0.000 0.500 0.500
Hf: 0.500 0.000 0.500
Si: 0.000 0.000 0.500
Pd: 0.500 0.500 0.000

---

## LiBeSi2 (meta-GGA SCAN)

Data for a PBEsol-optimized structure of LiBeSi2.

M_tot, μB per formula unit: 0.000
Formation energy (no corrections), eV per atom: 0.243
Space group: I-4m2

Lattice parameters (Å, degrees): 4.552 4.552 4.552 133.71 133.71 67.54
Fractional coordinates of all 4 atoms:
Li: 0.000 0.000 0.000
Be: 0.750 0.250 0.500
Si: 0.250 0.750 0.500
Si: 0.500 0.500 0.000

---

## As5C (meta-GGA SCAN)

Data for a PBEsol-optimized structure of As5C.

M_tot, μB per formula unit: 0.000
Calculated formation energy, eV per atom: 0.8712
Space group: P-62m

Lattice parameters (Å, degrees): 6.057 6.057 3.235 90.00 90.00 120.00
Fractional coordinates of all 6 atoms:
As: 0.000 0.275 0.000
As: 0.275 0.000 0.000
As: 0.333 0.667 0.500
As: 0.667 0.333 0.500
As: 0.725 0.725 0.000
C: 0.000 0.000 0.500

---

## FeIr2RuF (meta-GGA SCAN)

Data for a PBEsol-optimized structure of FeIr2RuF.

M_tot, μB per formula unit: 2.624
Formation energy (no corrections), eV per atom: 1.610
Space group: P4/mmm

Lattice parameters (Å, degrees): 4.354 4.354 4.432 90.00 90.00 90.00
Fractional coordinates of all 5 atoms:
Fe: 0.000 0.000 0.000
Ir: 0.000 0.500 0.000
Ir: 0.500 0.000 0.000
Ru: 0.000 0.000 0.500
F: 0.500 0.500 0.500

---

## YTlRh2 (meta-GGA SCAN)

Data for a PBEsol-optimized structure of YTlRh2.

M_tot, μB per formula unit: 0.000
Calculated formation energy, eV per atom: -0.1256
Space group: R-3m

Lattice parameters (Å, degrees): 8.299 8.299 8.299 23.10 23.10 23.10
Fractional coordinates of all 4 atoms:
Y: 0.000 0.000 0.000
Tl: 0.500 0.500 0.500
Rh: 0.250 0.250 0.250
Rh: 0.750 0.750 0.750